A relaxed PmAsH2Pd crystal, computed with PBE-GGA.

Its space-group type is P4mm. As for the density: 6.9 g/cm³. The volume comes out at 158.9 Å³/cell. The density of states at the Fermi level comes out at 0.3876 states/eV per atom. Its final energy is -4.767 eV/atom.

abc: 5.505 5.505 6.532
angles: 114.92 114.92 90.00
Positions (direct):
Pm  0.821  0.321  0.642
Pm  0.321  0.821  0.642
As  0.730  0.730  0.460
As  0.230  0.230  0.460
H  0.232  0.732  0.964
H  0.732  0.732  0.964
H  0.732  0.232  0.964
H  0.232  0.232  0.964
Pd  0.985  0.985  0.971
Pd  0.485  0.485  0.971


A relaxed PmAsHPd2 crystal, computed with PBE-GGA.

Its space-group type is Cmcm. As for the density: 8.8 g/cm³. The volume comes out at 162.8 Å³/cell. The density of states at the Fermi level comes out at 0.3486 states/eV per atom. Its final energy is -5.411 eV/atom.

abc: 4.093 5.760 7.389
angles: 90.00 90.00 110.81
Positions (direct):
Pm  0.439  0.879  0.750
Pm  0.561  0.121  0.250
As  0.723  0.446  0.750
As  0.277  0.554  0.250
H  0.000  0.000  0.000
H  0.000  0.000  0.500
Pd  0.157  0.314  0.945
Pd  0.843  0.686  0.055
Pd  0.157  0.314  0.555
Pd  0.843  0.686  0.445